<1>
Below is Cs4RhO4 after structural relaxation, with properties calculated at the PBE level.

Output
The calculation puts the mass density at 4.9 g/cm3.

abc: 8.866 8.866 5.972
angles: 90.00 90.00 90.00
Site moments in Bohr magnetons follow the coordinates.
Sites, in units of the cell vectors:
1 O 0.289 0.436 0.998  0.28
2 O 0.064 0.789 0.498  0.28
3 O 0.211 0.064 0.502  0.28
4 O 0.436 0.711 0.002  0.28
5 O 0.936 0.211 0.498  0.28
6 O 0.711 0.564 0.998  0.28
7 O 0.564 0.289 0.002  0.28
8 O 0.789 0.936 0.502  0.28
9 Cs 0.386 0.795 0.500  0.01
10 Cs 0.705 0.886 0.000  0.01
11 Cs 0.114 0.705 0.000  0.01
12 Cs 0.886 0.295 0.000  0.01
13 Cs 0.295 0.114 0.000  0.01
14 Cs 0.614 0.205 0.500  0.01
15 Cs 0.205 0.386 0.500  0.01
16 Cs 0.795 0.614 0.500  0.01
17 Rh 0.500 0.500 0.000  1.56
18 Rh 0.000 0.000 0.500  1.56



<2>
Below is Cs4RhO4 after structural relaxation, with properties calculated at the PBE level.

Output
The calculation puts the mass density at 3.8 g/cm3.

abc: 6.931 6.931 8.030
angles: 115.57 115.57 90.00
Site moments in Bohr magnetons follow the coordinates.
Sites, in units of the cell vectors:
1 O 0.040 0.040 0.790  0.08
2 O 0.960 0.249 0.210  0.08
3 O 0.249 0.960 0.210  0.08
4 O 0.751 0.751 0.790  0.08
5 Cs 0.287 0.287 0.575  0.01
6 Cs 0.500 0.000 0.000  0.00
7 Cs 0.000 0.500 0.000  0.00
8 Cs 0.713 0.713 0.425  0.01
9 Rh 0.000 0.000 0.000  0.49



From most stable to least stable, the computed energies give <1>, <2>.



<1>
Below is Cs2RuO4 after structural relaxation, with properties calculated at the PBE level.

Output
The calculation puts the mass density at 5.5 g/cm3.

abc: 4.034 4.034 8.466
angles: 76.22 76.22 90.00
Site moments in Bohr magnetons follow the coordinates.
Sites, in units of the cell vectors:
1 Cs 0.351 0.351 0.297  0.01
2 Cs 0.649 0.649 0.703  0.01
3 O 0.000 0.500 0.000  -0.01
4 O 0.883 0.883 0.235  0.20
5 O 0.500 0.000 0.000  -0.01
6 O 0.117 0.117 0.765  0.20
7 Ru 0.000 0.000 0.000  0.56



<2>
Below is Cs2RuO4 after structural relaxation, with properties calculated at the PBE level.

Output
The calculation puts the mass density at 4.3 g/cm3.

abc: 6.611 8.658 11.752
angles: 90.00 90.00 90.00
Site moments in Bohr magnetons follow the coordinates.
Sites, in units of the cell vectors:
1 Ru 0.750 0.776 0.421  1.05
2 Ru 0.250 0.224 0.579  1.05
3 Ru 0.750 0.276 0.079  1.05
4 Ru 0.250 0.724 0.921  1.05
5 Cs 0.250 0.669 0.581  0.00
6 Cs 0.750 0.507 0.796  0.01
7 Cs 0.250 0.993 0.296  0.01
8 Cs 0.750 0.831 0.081  0.00
9 Cs 0.750 0.007 0.704  0.01
10 Cs 0.250 0.493 0.204  0.01
11 Cs 0.750 0.331 0.419  0.00
12 Cs 0.250 0.169 0.919  0.00
13 O 0.750 0.483 0.079  0.17
14 O 0.973 0.203 0.148  0.17
15 O 0.027 0.797 0.852  0.17
16 O 0.473 0.797 0.852  0.17
17 O 0.750 0.203 0.935  0.18
18 O 0.973 0.703 0.352  0.17
19 O 0.750 0.983 0.421  0.17
20 O 0.250 0.297 0.435  0.18
21 O 0.527 0.203 0.148  0.17
22 O 0.027 0.297 0.648  0.17
23 O 0.750 0.703 0.565  0.18
24 O 0.250 0.017 0.579  0.17
25 O 0.527 0.703 0.352  0.17
26 O 0.250 0.797 0.065  0.18
27 O 0.473 0.297 0.648  0.17
28 O 0.250 0.517 0.921  0.17



From most stable to least stable, the computed energies give <2>, <1>.



<1>
Below is Cs4RuO4 after structural relaxation, with properties calculated at the PBE level.

Output
The calculation puts the mass density at 4.8 g/cm3.

abc: 6.237 8.835 8.835
angles: 90.00 90.00 90.00
Sites, in units of the cell vectors:
1 O 0.589 0.065 0.257
2 O 0.089 0.743 0.565
3 O 0.089 0.757 0.935
4 O 0.589 0.435 0.243
5 O 0.411 0.565 0.757
6 O 0.411 0.935 0.743
7 O 0.911 0.257 0.435
8 O 0.911 0.243 0.065
9 Cs 0.168 0.966 0.326
10 Cs 0.832 0.466 0.826
11 Cs 0.332 0.326 0.534
12 Cs 0.668 0.674 0.466
13 Cs 0.668 0.826 0.034
14 Cs 0.168 0.534 0.174
15 Cs 0.332 0.174 0.966
16 Cs 0.832 0.034 0.674
17 Ru 0.250 0.750 0.750
18 Ru 0.750 0.250 0.250



<2>
Below is Cs4RuO4 after structural relaxation, with properties calculated at the PBE level.

Output
The calculation puts the mass density at 5.0 g/cm3.

abc: 6.065 6.902 6.902
angles: 78.87 63.94 63.94
Site moments in Bohr magnetons follow the coordinates.
Sites, in units of the cell vectors:
1 Cs 0.385 0.820 0.410  0.00
2 Cs 0.205 0.410 0.180  0.00
3 Cs 0.615 0.180 0.590  0.00
4 Cs 0.795 0.590 0.820  0.00
5 O 0.936 0.853 0.274  0.13
6 O 0.210 0.726 0.853  0.13
7 O 0.790 0.274 0.147  0.13
8 O 0.064 0.147 0.726  0.13
9 Ru 0.000 0.000 0.000  1.31



From most stable to least stable, the computed energies give <2>, <1>.



<1>
Below is CsS3O after structural relaxation, with properties calculated at the PBE level.

Output
The calculation puts the mass density at 2.0 g/cm3.

abc: 5.886 5.886 5.886
angles: 90.00 90.00 90.00
Site moments in Bohr magnetons follow the coordinates.
Sites, in units of the cell vectors:
1 S 0.000 0.500 0.000  1.03
2 S 0.500 0.000 0.000  0.73
3 S 0.000 0.000 0.500  1.22
4 Cs 0.000 0.000 0.000  0.24
5 O 0.500 0.500 0.500  1.46



<2>
Below is CsS3O after structural relaxation, with properties calculated at the PBE level.

Output
The calculation puts the mass density at 4.0 g/cm3.

abc: 4.668 4.668 4.668
angles: 90.00 90.00 90.00
Sites, in units of the cell vectors:
1 Cs 0.500 0.500 0.500
2 S 0.500 0.000 0.000
3 S 0.000 0.000 0.500
4 S 0.000 0.500 0.000
5 O 0.000 0.000 0.000



From most stable to least stable, the computed energies give <2>, <1>.